(1)
DyPaCoPd: optimized geometry, PBE.

## Properties
Space-group type ... F-43m, No. 216
Energy relative to the elements ... -0.292 eV per atom
VASP energy ... -0.2532 hartree per atom

Lattice parameters (Å, degrees): 4.8493 4.8493 4.8493 60.00 60.00 60.00
Closest atoms and distances in Å follow each position.
Fractional coordinates of all 4 atoms:
Dy1 0.0000 0.0000 0.0000  4 Pd 2.97, 4 Co 2.97
Pa1 0.5000 0.5000 0.5000  4 Co 2.97, 4 Pd 2.97
Co1 0.7500 0.7500 0.7500  4 Pa 2.97, 4 Dy 2.97
Pd1 0.2500 0.2500 0.2500  4 Pa 2.97, 4 Dy 2.97

(2)
DyPaCoPt: optimized geometry, PBE.

## Properties
Space-group type ... F-43m, No. 216
Energy relative to the elements ... -0.488 eV per atom
VASP energy ... -0.2682 hartree per atom

Lattice parameters (Å, degrees): 4.8558 4.8558 4.8558 60.00 60.00 60.00
Closest atoms and distances in Å follow each position.
Fractional coordinates of all 4 atoms:
Dy1 0.0000 0.0000 0.0000  4 Co 2.97, 4 Pt 2.97
Pa1 0.5000 0.5000 0.5000  4 Co 2.97, 4 Pt 2.97
Co1 0.7500 0.7500 0.7500  4 Dy 2.97, 4 Pa 2.97
Pt1 0.2500 0.2500 0.2500  4 Dy 2.97, 4 Pa 2.97

(3)
DyPaCoRh: optimized geometry, PBE.

## Properties
Space-group type ... F-43m, No. 216
Energy relative to the elements ... -0.374 eV per atom
VASP energy ... -0.2761 hartree per atom
Excess energy over the best structure of this formula in the dataset ... 203 meV per atom

Lattice parameters (Å, degrees): 4.7996 4.7996 4.7996 60.00 60.00 60.00
Closest atoms and distances in Å follow each position.
Fractional coordinates of all 4 atoms:
Dy1 0.0000 0.0000 0.0000  4 Co 2.94, 4 Rh 2.94
Pa1 0.5000 0.5000 0.5000  4 Co 2.94, 4 Rh 2.94
Co1 0.7500 0.7500 0.7500  4 Dy 2.94, 4 Pa 2.94
Rh1 0.2500 0.2500 0.2500  4 Dy 2.94, 4 Pa 2.94